[1]
BeCrAg2 (GGA-PBE, relaxed); formation energy from the elements = 0.41 eV/atom; total energy = -17.40 eV for the cell shown; SG = I-4m2; calculated density = 7.5 g/cm³
1.0
-1.9674 1.9674 3.9423
1.9674 -1.9674 3.9423
1.9674 1.9674 -3.9423
Be Cr Ag
1 1 2
Cartesian
0.0000 0.0000 0.0000
1.9674 0.0000 1.9712
0.0000 0.0000 3.9423
0.0000 1.9674 1.9712

***

[2]
PmThBe2Ge2 (GGA-PBE, relaxed); formation energy from the elements = -0.66 eV/atom; total energy = -32.80 eV for the cell shown; SG = P-3m1; calculated density = 7.7 g/cm³
1.0
3.9801 0.0000 0.0000
-1.9901 3.4469 0.0000
0.0000 0.0000 8.4993
Pm Th Be Ge
1 1 2 2
Cartesian
0.0000 0.0000 0.0000
0.0000 0.0000 4.2497
0.0000 2.2979 6.3611
1.9901 1.1490 2.1382
0.0000 2.2979 2.0941
1.9901 1.1490 6.4052

***

[3]
RbTlF4 (GGA-PBE, relaxed); E_form (uncorrected) = -2.22 eV/atom; total energy = -96.54 eV for the cell shown; SG = Pbcm; calculated density = 5.3 g/cm³
1.0
6.3758 0.0000 0.0000
0.0000 8.4485 0.0000
0.0000 0.0000 8.5545
Rb Tl F
4 4 16
Cartesian
0.0679 1.6040 2.1386
0.0679 2.6202 6.4159
6.3080 5.8283 2.1386
6.3080 6.8444 6.4159
3.1879 0.0000 0.0000
3.1879 0.0000 4.2773
3.1879 4.2242 0.0000
3.1879 4.2242 4.2773
1.2771 4.8484 4.8464
1.2771 4.8484 7.9854
1.2771 7.8243 0.5691
1.2771 7.8243 3.7081
2.3082 2.1121 0.0000
2.3082 2.1121 4.2773
2.4648 4.4381 2.1386
2.4648 8.2346 6.4159
3.9110 0.2139 2.1386
3.9110 4.0104 6.4159
4.0676 6.3364 0.0000
4.0676 6.3364 4.2773
5.0988 0.6241 4.8464
5.0988 0.6241 7.9854
5.0988 3.6001 0.5691
5.0988 3.6001 3.7081

***

[4]
CeY3Ho2 (GGA-PBE, relaxed); formation energy from the elements = 0.16 eV/atom; total energy = -67.09 eV for the cell shown; SG = C2/m; calculated density = 6.4 g/cm³
1.0
8.9487 -1.7204 0.0000
8.9487 1.7204 0.0000
-6.6133 0.0000 12.4645
Ce Y Ho
2 6 4
Cartesian
0.1125 0.0000 1.3913
11.1717 0.0000 11.0732
-1.6961 0.0000 6.5846
-0.9236 0.0000 9.8867
6.3406 0.0000 3.5791
4.9435 0.0000 8.8854
12.2077 0.0000 2.5778
12.9802 0.0000 5.8798
-3.5632 0.0000 12.0330
1.6483 0.0000 7.7076
9.6358 0.0000 4.7568
14.8474 0.0000 0.4315

***

[5]
TaCuAs2Br (GGA-PBE, relaxed); E_form (uncorrected) = 1.00 eV/atom; total energy = -21.92 eV for the cell shown; SG = P4/mmm; calculated density = 7.5 g/cm³
1.0
4.6326 0.0000 0.0000
0.0000 4.6326 0.0000
0.0000 0.0000 4.8650
Ta Cu As Br
1 1 2 1
Cartesian
0.0000 0.0000 0.0000
2.3163 2.3163 2.4325
0.0000 2.3163 2.4325
2.3163 0.0000 2.4325
2.3163 2.3163 0.0000

***

[6]
Sm2BiBr3 (GGA-PBE, relaxed); E_form (uncorrected) = -1.42 eV/atom; total energy = -53.72 eV for the cell shown; SG = C2/m; calculated density = 5.3 g/cm³
1.0
9.0675 -2.2584 0.0000
9.0675 2.2584 0.0000
-8.8757 0.0000 11.4445
Sm Bi Br
4 2 6
Cartesian
-1.9954 0.0000 5.1489
5.0715 0.0000 1.9086
4.1877 0.0000 9.5358
11.2546 0.0000 6.2955
-3.9616 0.0000 7.6364
13.2209 0.0000 3.8081
-5.9874 0.0000 11.3603
1.1131 0.0000 4.6673
1.5720 0.0000 8.3009
7.6872 0.0000 3.1435
8.1461 0.0000 6.7772
15.2466 0.0000 0.0841

***

[7]
CaMgO (GGA-PBE, relaxed); E_form (uncorrected) = -1.37 eV/atom; total energy = -25.35 eV for the cell shown; SG = Immm; calculated density = 1.6 g/cm³
1.0
-2.5626 2.8487 5.5468
2.5626 -2.8487 5.5468
2.5626 2.8487 -5.5468
Ca Mg O
2 2 2
Cartesian
0.0000 0.0000 2.0446
0.0000 0.0000 9.0489
2.5626 1.4873 0.0000
0.0000 1.3615 5.5468
0.0000 0.0000 4.1153
0.0000 0.0000 6.9783

***

[8]
NdThCo3 (GGA-PBE, relaxed); formation energy from the elements = -0.16 eV/atom; total energy = -68.63 eV for the cell shown; SG = Cmcm; calculated density = 9.3 g/cm³
1.0
1.9850 -12.4336 0.0000
1.9850 12.4336 0.0000
0.0000 0.0000 3.9802
Nd Th Co
2 2 6
Cartesian
1.9850 7.4349 2.9852
1.9850 -7.4349 0.9951
1.9850 10.7255 0.9951
1.9850 -10.7255 2.9852
1.9850 4.0240 2.9852
1.9850 2.8804 0.9951
1.9850 0.5703 0.9951
1.9850 -0.5703 2.9852
1.9850 -2.8804 2.9852
1.9850 -4.0240 0.9951

***

[9]
Sr2PaGe4Pt3 (GGA-PBE, relaxed); formation energy from the elements = -0.70 eV/atom; total energy = -56.43 eV for the cell shown; SG = P-4m2; calculated density = 9.7 g/cm³
1.0
4.3631 0.0000 0.0000
0.0000 4.3631 0.0000
0.0000 0.0000 11.5836
Sr Pa Ge Pt
2 1 4 3
Cartesian
0.0000 2.1815 2.6695
2.1815 0.0000 8.9140
0.0000 0.0000 5.7918
0.0000 0.0000 0.0000
0.0000 2.1815 7.7028
2.1815 0.0000 3.8807
2.1815 2.1815 0.0000
0.0000 2.1815 10.2576
2.1815 0.0000 1.3260
2.1815 2.1815 5.7918

***

[10]
ThNi6P4 (GGA-PBE, relaxed); formation energy from the elements = -0.65 eV/atom; total energy = -70.85 eV for the cell shown; SG = P-6m2; calculated density = 8.3 g/cm³
1.0
6.6207 0.0000 0.0000
-3.3103 5.7337 0.0000
0.0000 0.0000 3.7368
Th Ni P
1 6 4
Cartesian
0.0000 0.0000 0.0000
0.0000 2.3388 1.8684
-1.2849 4.5643 1.8684
3.3103 0.4088 0.0000
2.0092 2.6625 0.0000
1.2849 4.5643 1.8684
4.6115 2.6625 0.0000
0.0000 3.8224 0.0000
1.9404 1.1203 1.8684
4.6803 1.1203 1.8684
3.3103 3.4931 1.8684